Compound: Pd4Se2I5
Source: the Alexandria database
Functional: GGA-PBE
Structure: relaxed

Calculated values
- V (Å³/atom) = 34.78
- spin magnetization (μB per cell) = 0.0
- total energy (eV/cell) = -36.675
- symmetry = C2/m

Structure (POSCAR):
```
Pd4Se2I5
1.0
-1.803 -2.070 2.665
5.706 1.592 5.097
-2.489 12.295 5.123
I Pd Se
5 4 2
direct
0.208 0.227 0.416
0.864 0.295 0.729
0.792 0.773 0.584
0.136 0.705 0.271
0.500 0.000 0.000
0.034 0.713 0.068
0.966 0.287 0.932
0.327 0.535 0.655
0.673 0.465 0.345
0.956 0.611 0.912
0.044 0.389 0.088
```

***

Compound: InTeN2
Source: the Alexandria database
Functional: GGA-PBE
Structure: relaxed

Calculated values
- V (Å³/atom) = 14.06
- spin magnetization (μB per cell) = 0.0
- total energy (eV/cell) = -16.603
- symmetry = Fm-3m

Structure (POSCAR):
```
InTeN2
1.0
0.616 -4.024 -1.385
-2.743 -1.749 -2.812
1.241 -0.712 -4.055
N In Te
2 1 1
direct
0.750 0.750 0.750
0.250 0.250 0.250
0.000 0.000 0.000
0.500 0.500 0.500
```

***

Compound: MnAl4
Source: the Alexandria database
Functional: GGA-PBE
Structure: relaxed

Calculated values
- V (Å³/atom) = 18.10
- spin magnetization (μB per cell) = 3.8
- total energy (eV/cell) = -22.578
- symmetry = I4/mmm

Structure (POSCAR):
```
MnAl4
1.0
4.932 -3.834 2.763
2.850 -0.276 6.201
-5.723 0.247 -3.720
Al Mn
4 1
direct
0.599 0.599 0.000
0.750 0.250 0.500
0.401 0.401 0.000
0.250 0.750 0.500
0.000 0.000 0.000
```

***

Compound: TlSbPdPb
Source: the Alexandria database
Functional: GGA-PBE
Structure: relaxed

Calculated values
- V (Å³/atom) = 29.37
- spin magnetization (μB per cell) = 0.0
- total energy (eV/cell) = -16.128
- symmetry = R3m

Structure (POSCAR):
```
TlSbPdPb
1.0
-4.297 0.905 1.115
-3.392 -1.921 -2.308
-2.544 -5.433 3.814
Tl Pb Sb Pd
1 1 1 1
direct
0.823 0.823 0.531
0.027 0.027 0.919
0.259 0.259 0.224
0.617 0.617 0.148
```

***

Compound: Tb3ErTm4
Source: the Alexandria database
Functional: GGA-PBE
Structure: relaxed

Calculated values
- V (Å³/atom) = 31.59
- spin magnetization (μB per cell) = 0.0
- total energy (eV/cell) = -34.758
- symmetry = Cmmm

Structure (POSCAR):
```
Tb3ErTm4
1.0
5.457 0.000 -1.088
-0.063 3.496 -0.314
-0.210 1.188 13.180
Tb Tm Er
3 4 1
direct
0.000 0.500 0.000
0.845 0.000 0.689
0.155 0.000 0.311
0.397 0.500 0.793
0.277 0.499 0.554
0.603 0.500 0.207
0.723 0.501 0.446
0.500 0.000 0.000
```

***

Compound: Hf2I2Cl
Source: the Alexandria database
Functional: GGA-PBE
Structure: relaxed

Calculated values
- V (Å³/atom) = 25.28
- spin magnetization (μB per cell) = 0.0
- total energy (eV/cell) = -49.724
- symmetry = P4/mbm

Structure (POSCAR):
```
Hf2I2Cl
1.0
-1.850 4.479 -6.847
-6.314 -5.245 -1.725
-2.228 2.045 1.939
Cl Hf I
2 4 4
direct
0.000 0.000 0.000
0.500 0.500 0.000
0.378 0.878 0.000
0.122 0.378 0.000
0.878 0.622 0.000
0.622 0.122 0.000
0.335 0.165 0.500
0.835 0.335 0.500
0.165 0.665 0.500
0.665 0.835 0.500
```

***

Compound: Be3RuCl
Source: the Alexandria database
Functional: GGA-PBE
Structure: relaxed

Calculated values
- V (Å³/atom) = 15.71
- spin magnetization (μB per cell) = 0.0
- total energy (eV/cell) = -18.128
- symmetry = Pm-3m

Structure (POSCAR):
```
Be3RuCl
1.0
-1.170 3.219 2.571
-3.814 0.165 -1.941
-1.558 -2.820 2.822
Be Ru Cl
3 1 1
direct
0.000 0.000 0.500
0.000 0.500 0.000
0.500 0.000 0.000
0.000 0.000 0.000
0.500 0.500 0.500
```

***

Compound: Cd2CuS2O2
Source: the Alexandria database
Functional: GGA-PBE
Structure: relaxed

Calculated values
- V (Å³/atom) = 21.23
- spin magnetization (μB per cell) = 2.3
- total energy (eV/cell) = -23.525
- symmetry = I4/mmm

Structure (POSCAR):
```
Cd2CuS2O2
1.0
-2.020 2.020 9.103
2.020 -2.020 9.103
2.020 2.020 -9.103
S Cu O Cd
2 1 2 2
direct
0.161 0.161 0.000
0.839 0.839 0.000
0.000 0.000 0.000
0.500 0.000 0.500
0.000 0.500 0.500
0.750 0.250 0.500
0.250 0.750 0.500
```